Here is a PBEsol-optimized structure of FeRuAu from Alexandria. Energies are from SCAN.

Output
Uncorrected energy = -40.472 eV/atom
Calculated formation energy = 0.232 eV per atom

Lattice parameters (Å, degrees): 2.6636 2.6636 6.7423 96.85 96.85 113.35
Each line ends with the local moment (μB).
Atoms (fractional coordinates):
Au 0.9951 0.9951 0.9902  0.06
Fe 0.3263 0.3263 0.6525  3.15
Ru 0.6787 0.6787 0.3573  1.18